Entry 1:
Compound: Ho3AgAu2
Source: Alexandria via LeMat-Bulk
Functional: PBE-GGA
Structure: relaxed

## Properties
- Total magnetic moment: 0.00 Bohr magnetons per cell
- DFT formation energy: -698 meV per atom
- N(E_F): 0.39 states/eV per atom

Cell and atoms, written as CIF:
```
data_Ho3AgAu2
_cell_length_a 3.5786
_cell_length_b 3.5786
_cell_length_c 10.8680
_cell_angle_alpha 90.00
_cell_angle_beta 90.00
_cell_angle_gamma 90.00
_symmetry_space_group_name_H-M 'P 4/m m m'
_symmetry_Int_Tables_number 123
_symmetry_space_group_name_Hall '-P 4 2'
loop_
_atom_site_label
_atom_site_fract_x
_atom_site_fract_y
_atom_site_fract_z
_atom_site_occupancy
Ho1 0.0000 0.0000 0.0000 1
Ho2 0.0000 0.0000 0.3289 1
Ag1 0.5000 0.5000 0.5000 1
Au1 0.5000 0.5000 0.1679 1
```

---

Entry 2:
Compound: Ho7Ag2Au2
Source: Alexandria via LeMat-Bulk
Functional: PBE-GGA
Structure: relaxed

## Properties
- Total magnetic moment: 0.00 Bohr magnetons per cell
- DFT formation energy: -204 meV per atom
- N(E_F): 1.06 states/eV per atom

Cell and atoms, written as CIF:
```
data_Ho7Ag2Au2
_cell_length_a 7.7349
_cell_length_b 10.8410
_cell_length_c 7.4286
_cell_angle_alpha 90.00
_cell_angle_beta 90.00
_cell_angle_gamma 90.00
_symmetry_space_group_name_H-M 'C m m m'
_symmetry_Int_Tables_number 65
_symmetry_space_group_name_Hall '-C 2 2'
loop_
_atom_site_label
_atom_site_fract_x
_atom_site_fract_y
_atom_site_fract_z
_atom_site_occupancy
Ho1 0.0000 0.0000 0.0000 1
Ho2 0.0000 0.5000 0.2612 1
Ho3 0.2500 0.2500 0.2748 1
Ag1 0.1806 0.0000 0.5000 1
Au1 0.0000 0.2900 0.0000 1
```

---

Entry 3:
Compound: Ho6AgAu2
Source: Alexandria via LeMat-Bulk
Functional: PBE-GGA
Structure: relaxed

## Properties
- Total magnetic moment: 0.00 Bohr magnetons per cell
- DFT formation energy: -292 meV per atom
- N(E_F): 1.28 states/eV per atom

Cell and atoms, written as CIF:
```
data_Ho6AgAu2
_cell_length_a 15.6917
_cell_length_b 7.0216
_cell_length_c 4.9630
_cell_angle_alpha 90.00
_cell_angle_beta 108.38
_cell_angle_gamma 90.00
_symmetry_space_group_name_H-M 'C 1 2/m 1'
_symmetry_Int_Tables_number 12
_symmetry_space_group_name_Hall '-C 2y'
loop_
_atom_site_label
_atom_site_fract_x
_atom_site_fract_y
_atom_site_fract_z
_atom_site_occupancy
Ho1 0.0000 0.2451 0.0000 1
Ho2 0.1681 0.2476 0.6680 1
Ag1 0.0000 0.5000 0.5000 1
Au1 0.1666 0.0000 0.1667 1
```

---

Entry 4:
Compound: HoAg2Au
Source: Alexandria via LeMat-Bulk
Functional: PBE-GGA
Structure: relaxed

## Properties
- Total magnetic moment: 0.00 Bohr magnetons per cell
- DFT formation energy: -396 meV per atom
- N(E_F): 0.48 states/eV per atom

Cell and atoms, written as CIF:
```
data_HoAg2Au
_cell_length_a 4.2971
_cell_length_b 4.2971
_cell_length_c 8.7250
_cell_angle_alpha 90.00
_cell_angle_beta 90.00
_cell_angle_gamma 90.00
_symmetry_space_group_name_H-M 'I 4/m m m'
_symmetry_Int_Tables_number 139
_symmetry_space_group_name_Hall '-I 4 2'
loop_
_atom_site_label
_atom_site_fract_x
_atom_site_fract_y
_atom_site_fract_z
_atom_site_occupancy
Ho1 0.0000 0.0000 0.0000 1
Ag1 0.0000 0.5000 0.2500 1
Au1 0.0000 0.0000 0.5000 1
```

---

Entry 5:
Compound: Ho3Ag2Au4
Source: Alexandria via LeMat-Bulk
Functional: PBE-GGA
Structure: relaxed

## Properties
- Total magnetic moment: 0.00 Bohr magnetons per cell
- DFT formation energy: -603 meV per atom
- N(E_F): 0.56 states/eV per atom

Cell and atoms, written as CIF:
```
data_Ho3Ag2Au4
_cell_length_a 13.8341
_cell_length_b 10.8479
_cell_length_c 5.2891
_cell_angle_alpha 90.00
_cell_angle_beta 101.24
_cell_angle_gamma 90.00
_symmetry_space_group_name_H-M 'C 1 2/c 1'
_symmetry_Int_Tables_number 15
_symmetry_space_group_name_Hall '-C 2yc'
loop_
_atom_site_label
_atom_site_fract_x
_atom_site_fract_y
_atom_site_fract_z
_atom_site_occupancy
Ho1 0.0000 0.1212 0.2500 1
Ho2 0.1592 0.3755 0.0624 1
Ag1 0.2223 0.1265 0.3747 1
Au1 0.0631 0.3676 0.5129 1
Au2 0.1158 0.1211 0.8218 1
```

---

Entry 6:
Compound: HoAgAu4
Source: Alexandria via LeMat-Bulk
Functional: PBE-GGA
Structure: relaxed

## Properties
- Total magnetic moment: 0.00 Bohr magnetons per cell
- DFT formation energy: -407 meV per atom
- N(E_F): 0.26 states/eV per atom

Cell and atoms, written as CIF:
```
data_HoAgAu4
_cell_length_a 6.1148
_cell_length_b 4.7093
_cell_length_c 8.8607
_cell_angle_alpha 90.00
_cell_angle_beta 110.03
_cell_angle_gamma 90.00
_symmetry_space_group_name_H-M 'P 1 21/m 1'
_symmetry_Int_Tables_number 11
_symmetry_space_group_name_Hall '-P 2yb'
loop_
_atom_site_label
_atom_site_fract_x
_atom_site_fract_y
_atom_site_fract_z
_atom_site_occupancy
Ho1 0.1205 0.2500 0.2392 1
Ag1 0.3677 0.7500 0.7375 1
Au1 0.0440 0.2500 0.5848 1
Au2 0.2217 0.2500 0.9135 1
Au3 0.3036 0.7500 0.0854 1
Au4 0.4648 0.7500 0.4148 1
```

---

Please write out number 2 again, unchanged.
Compound: Ho7Ag2Au2
Source: Alexandria via LeMat-Bulk
Functional: PBE-GGA
Structure: relaxed

## Properties
- Total magnetic moment: 0.00 Bohr magnetons per cell
- DFT formation energy: -204 meV per atom
- N(E_F): 1.06 states/eV per atom

Cell and atoms, written as CIF:
```
data_Ho7Ag2Au2
_cell_length_a 7.7349
_cell_length_b 10.8410
_cell_length_c 7.4286
_cell_angle_alpha 90.00
_cell_angle_beta 90.00
_cell_angle_gamma 90.00
_symmetry_space_group_name_H-M 'C m m m'
_symmetry_Int_Tables_number 65
_symmetry_space_group_name_Hall '-C 2 2'
loop_
_atom_site_label
_atom_site_fract_x
_atom_site_fract_y
_atom_site_fract_z
_atom_site_occupancy
Ho1 0.0000 0.0000 0.0000 1
Ho2 0.0000 0.5000 0.2612 1
Ho3 0.2500 0.2500 0.2748 1
Ag1 0.1806 0.0000 0.5000 1
Au1 0.0000 0.2900 0.0000 1
```

---

Q: Which value of N(E_F) does entry 2 give?
A: 1.06 states/eV per atom

---

Q: Which of these has the lowest N(E_F)?
A: HoAgAu4